Record 1
# EuDy2Ga (GGA-PBE, relaxed)
# E_form ... -92 kJ/mol of formula units
data_EuDy2Ga
_space_group_name_H-M_alt 'P 4/m m m'
_space_group_IT_number 123
_space_group_name_Hall '-P 4 2'
_cell_length_a 3.5582
_cell_length_b 3.5582
_cell_length_c 9.2944
_cell_angle_alpha 90.00
_cell_angle_beta 90.00
_cell_angle_gamma 90.00
loop_
_atom_site_label
_atom_site_type_symbol
_atom_site_fract_x
_atom_site_fract_y
_atom_site_fract_z
Eu1 Eu 0.0000 0.0000 0.0000
Dy1 Dy 0.5000 0.5000 0.3062
Ga1 Ga 0.0000 0.0000 0.5000

***

Record 2
# Cd2SnTeO6 (GGA-PBE, relaxed)
# Uncorrected formation energy ... -0.942 eV per atom
data_Cd2SnTeO6
_space_group_name_H-M_alt 'P 4 m m'
_space_group_IT_number 99
_cell_length_a 5.7701
_cell_length_b 5.7701
_cell_length_c 4.8267
_cell_angle_alpha 90.00
_cell_angle_beta 90.00
_cell_angle_gamma 90.00
loop_
_space_group_symop_operation_xyz
'x,y,z'
'-y,x,z'
'-x,-y,z'
'y,-x,z'
'-x,y,z'
'y,x,z'
'x,-y,z'
'-y,-x,z'
loop_
_atom_site_label
_atom_site_type_symbol
_atom_site_fract_x
_atom_site_fract_y
_atom_site_fract_z
Cd1 Cd 0.0000 0.5000 0.0000
Sn1 Sn 0.0000 0.0000 0.6207
Te1 Te 0.5000 0.5000 0.6451
O1 O 0.0000 0.0000 0.2139
O2 O 0.2428 0.2428 0.7558
O3 O 0.5000 0.5000 0.2534

***

Record 3
# Cd2InSe (GGA-PBE, relaxed)
# Uncorrected formation energy ... 0.056 eV per atom
data_Cd2InSe
_space_group_name_H-M_alt 'F m -3 m'
_space_group_IT_number 225
_space_group_name_Hall '-F 4 2 3'
_cell_length_a 7.3956
_cell_length_b 7.3956
_cell_length_c 7.3956
_cell_angle_alpha 90.00
_cell_angle_beta 90.00
_cell_angle_gamma 90.00
loop_
_atom_site_label
_atom_site_type_symbol
_atom_site_fract_x
_atom_site_fract_y
_atom_site_fract_z
Cd1 Cd 0.2500 0.2500 0.2500
In1 In 0.0000 0.0000 0.0000
Se1 Se 0.0000 0.0000 0.5000

***

no.,DOS at the Fermi energy (states/eV/cell)
1,3.46
2,0.70
3,11.79